1.
This record from Alexandria via LeMat-Bulk describes Ce2ZnSi4Ni3 after structural relaxation. The functional is PBE.

Properties
Raw formation energy ... -0.7533 eV per atom

Unit cell a=4.0472 b=4.0472 c=9.6675 alpha=90.00 beta=90.00 gamma=90.00
Atoms (fractional coordinates):
Ce1 0.0000 0.5000 0.2442
Ce2 0.5000 0.0000 0.7558
Zn1 0.0000 0.0000 0.5000
Si1 0.0000 0.0000 0.0000
Si2 0.0000 0.5000 0.6412
Si3 0.5000 0.0000 0.3588
Si4 0.5000 0.5000 0.0000
Ni1 0.0000 0.5000 0.8806
Ni2 0.5000 0.0000 0.1194
Ni3 0.5000 0.5000 0.5000

2.
This record from Alexandria via LeMat-Bulk describes RbAg2TeSe4 after structural relaxation. The functional is PBE.

Properties
Raw formation energy ... -0.2091 eV per atom

Unit cell a=6.9925 b=6.9925 c=6.9925 alpha=120.59 beta=111.14 gamma=97.50
Atoms (fractional coordinates):
Rb1 0.0000 0.0000 0.0000
Ag1 0.3138 0.8138 0.5000
Ag2 0.6862 0.1862 0.5000
Te1 0.5000 0.5000 0.0000
Se1 0.1324 0.1213 0.5974
Se2 0.4761 0.8787 0.0111
Se3 0.5239 0.5350 0.4026
Se4 0.8676 0.4650 0.9889

3.
This record from Alexandria via LeMat-Bulk describes AlNi12Sn3 after structural relaxation. The functional is PBE.

Properties
Calculated formation energy ... -0.239 eV per atom

Unit cell a=3.7070 b=3.7070 c=14.6634 alpha=90.00 beta=90.00 gamma=90.00
Atoms (fractional coordinates):
Al1 0.0000 0.0000 0.0000
Ni1 0.0000 0.5000 0.1149
Ni2 0.0000 0.5000 0.3718
Ni3 0.0000 0.5000 0.6282
Ni4 0.0000 0.5000 0.8851
Ni5 0.5000 0.0000 0.1149
Ni6 0.5000 0.0000 0.3718
Ni7 0.5000 0.0000 0.6282
Ni8 0.5000 0.0000 0.8851
Ni9 0.5000 0.5000 0.0000
Ni10 0.5000 0.5000 0.2446
Ni11 0.5000 0.5000 0.5000
Ni12 0.5000 0.5000 0.7554
Sn1 0.0000 0.0000 0.2430
Sn2 0.0000 0.0000 0.5000
Sn3 0.0000 0.0000 0.7570